First-principles (PBE) data for a relaxed Li7GaCu5 crystal, as listed in Alexandria via LeMat-Bulk.

Values from the calculation:
space-group type	Imm2
calculated density	3.731	g/cm³
size of the total moment	0.00	μB per atom
energy relative to the elements	-0.070	eV/atom
N(E_F)	3.4	states/eV/cell

Lattice parameters (Å, degrees): 4.9619 6.7282 6.7282 81.40 68.36 68.36
Sites, in units of the cell vectors:
Li1 0.9622 0.7484 0.3271
Li2 0.1771 0.3229 0.3229
Cu1 0.4626 0.5441 0.0238
Li3 0.4715 0.8767 0.1804
Li4 0.9622 0.3271 0.7484
Cu2 0.9695 0.0238 0.5441
Ga1 0.1161 0.8839 0.8839
Li5 0.4335 0.5665 0.5665
Li6 0.4715 0.1804 0.8767
Cu3 0.9695 0.5441 0.0238
Li7 0.7965 0.2035 0.2035
Cu4 0.7453 0.7547 0.7547
Cu5 0.4626 0.0238 0.5441